VASP calculation (PBE+U) on a relaxed structure of Pa2FeO6.

a b c (Å): 5.4802 5.7166 8.1928
angles (deg): 90.00 101.35 90.00
Closest atoms and distances in Å follow each position.
Positions (direct):
1 Pa 0.9660 0.3787 0.7844  6 O 2.13-2.34
2 Pa 0.5340 0.8787 0.7156  6 O 2.13-2.34
3 Pa 0.4660 0.1213 0.2844  6 O 2.13-2.34
4 Pa 0.0340 0.6213 0.2156  6 O 2.13-2.34
5 Fe 0.5000 0.5000 0.0000  4 O 1.96-1.98
6 Fe 0.0000 0.0000 0.5000  4 O 1.96-1.98
7 O 0.8083 0.9191 0.2786  1 Fe 1.96
8 O 0.7923 0.6624 0.6227  2 Pa 2.13-2.19
9 O 0.7991 0.6508 0.9461  1 Fe 1.98
10 O 0.7009 0.1508 0.5539  1 Fe 1.98
11 O 0.7077 0.1624 0.8773  2 Pa 2.13-2.19
12 O 0.6917 0.4191 0.2214  1 Fe 1.96
13 O 0.1917 0.0809 0.7214  1 Fe 1.96
14 O 0.2077 0.3376 0.3773  2 Pa 2.13-2.19
15 O 0.2009 0.3492 0.0539  1 Fe 1.98
16 O 0.2991 0.8492 0.4461  1 Fe 1.98
17 O 0.2923 0.8376 0.1227  2 Pa 2.13-2.19
18 O 0.3083 0.5809 0.7786  1 Fe 1.96

Output
As for the total energy: -161.2 eV/cell. The magnetization is 2.000 μB/f.u. As for the crystal system: monoclinic. The mass density is 8.1 Mg/m³.